1.
DFT (PBE) results for a geometry-optimized TiNb4Te8 structure.

The crystal system is trigonal. Its total magnetization is 3.4 Bohr magnetons per cell. The formation energy (no corrections) is -348 meV per atom.

It has space group R-3m (No. 166, hexagonal axes), with a = 7.4541 Å, b = 7.4541 Å, c = 21.4048 Å, α = 90.00°, β = 90.00° and γ = 120.00°. The inequivalent atoms are Ti at (0.0000, 0.0000, 0.0000), Nb at (0.0000, 0.0000, 0.5000), Nb at (0.0000, 0.5000, 0.5000), Te at (0.0000, 0.0000, 0.2522) and Te at (0.0051, 0.5025, 0.2526).

---

2.
DFT (PBE) results for a geometry-optimized CsRhW2 structure.

The crystal system is tetragonal. Its total magnetization is 0.0 Bohr magnetons per cell. As for the formation energy: 7.4 eV per formula unit. As for the energy relative to the lowest polymorph listed for this composition: 0 meV per atom.

It has space group I-42d (No. 122), with a = 5.1728 Å, b = 5.1728 Å, c = 17.4681 Å, α = 90.00°, β = 90.00° and γ = 90.00°. The inequivalent atoms are Cs at (0.0000, 0.0000, 0.0000), Rh at (0.0000, 0.0000, 0.5000) and W at (0.0014, 0.7500, 0.6250).

---

3.
DFT (PBE) results for a geometry-optimized SrTa3 structure.

The crystal system is monoclinic. Its total magnetization is 0.0 Bohr magnetons per cell. As for the formation energy: 2.6 eV per formula unit.

It has space group P2/m (No. 10), with a = 3.0270 Å, b = 4.6101 Å, c = 6.9797 Å, α = 90.00°, β = 99.19° and γ = 90.00°. The inequivalent atoms are Sr at (0.0000, 0.0000, 0.0000), Ta at (0.2357, 0.5000, 0.6711) and Ta at (0.5000, 0.0000, 0.5000).

---

4.
DFT (PBE) results for a geometry-optimized ScCd2Cu structure.

The crystal system is monoclinic. Its total magnetization is 0.0 Bohr magnetons per cell. As for the formation energy: -0.4 eV per formula unit.

It has space group C2/m (No. 12), with a = 10.4104 Å, b = 3.5115 Å, c = 4.8208 Å, α = 90.00°, β = 117.45° and γ = 90.00°. The inequivalent atoms are Sc at (0.0000, 0.0000, 0.0000), Cd at (0.2254, 0.0000, 0.7255) and Cu at (0.0000, 0.5000, 0.5000).

---

5.
DFT (PBE) results for a geometry-optimized Ac5Nd3Bi8 structure.

The crystal system is trigonal. Its total magnetization is 0.0 Bohr magnetons per cell. As for the formation energy: -15.5 eV per formula unit.

It has space group R-3m (No. 166, hexagonal axes), with a = 9.5650 Å, b = 9.5650 Å, c = 23.4169 Å, α = 90.00°, β = 90.00° and γ = 120.00°. The inequivalent atoms are Ac at (0.0000, 0.0000, 0.0000), Ac at (0.0000, 0.0000, 0.5000), Ac at (0.0000, 0.5000, 0.0000), Nd at (0.0000, 0.5000, 0.5000), Bi at (0.0000, 0.0000, 0.2453) and Bi at (0.0066, 0.5033, 0.7533).

---

6.
DFT (PBE) results for a geometry-optimized Sn3CS structure.

The crystal system is cubic. Its total magnetization is 0.0 Bohr magnetons per cell. The formation energy (no corrections) is 847 meV per atom. As for the energy relative to the lowest polymorph listed for this composition: 0 meV per atom.

It has space group Pm-3m (No. 221), with a = 4.8465 Å, b = 4.8465 Å, c = 4.8465 Å, α = 90.00°, β = 90.00° and γ = 90.00°. The inequivalent atoms are Sn at (0.0000, 0.0000, 0.5000), C at (0.0000, 0.0000, 0.0000) and S at (0.5000, 0.5000, 0.5000).

---

7.
DFT (PBE) results for a geometry-optimized AgW structure.

The crystal system is monoclinic. Its total magnetization is 0.0 Bohr magnetons per cell. As for the formation energy: 1.1 eV per formula unit. As for the energy relative to the lowest polymorph listed for this composition: 226 meV per atom.

It has space group Cm (No. 8), with a = 10.7614 Å, b = 2.7021 Å, c = 7.1953 Å, α = 90.00°, β = 104.15° and γ = 90.00°. The inequivalent atoms are Ag at (0.0000, 0.0000, 0.0000), Ag at (0.1140, 0.5000, 0.7171), Ag at (0.2741, 0.0000, 0.0535), W at (0.1727, 0.5000, 0.3509), W at (0.3406, 0.0000, 0.6523) and W at (0.4414, 0.5000, 0.3770).

---

8.
DFT (PBE) results for a geometry-optimized CdCoAu structure.

The crystal system is tetragonal. Its total magnetization is 2.8 Bohr magnetons per cell. As for the formation energy: 0.5 eV per formula unit. As for the energy relative to the lowest polymorph listed for this composition: 0 meV per atom.

It has space group I4mm (No. 107), with a = 2.8950 Å, b = 2.8950 Å, c = 11.7772 Å, α = 90.00°, β = 90.00° and γ = 90.00°. The inequivalent atoms are Cd at (0.0000, 0.0000, 0.0000), Co at (0.0000, 0.0000, 0.3402) and Au at (0.0000, 0.0000, 0.6915).

---

9.
DFT (PBE) results for a geometry-optimized FePt4Pb structure.

The crystal system is cubic. Its total magnetization is 15.4 Bohr magnetons per cell. As for the formation energy: 0.7 eV per formula unit.

It has space group F-43m (No. 216), with a = 7.5847 Å, b = 7.5847 Å, c = 7.5847 Å, α = 90.00°, β = 90.00° and γ = 90.00°. The inequivalent atoms are Fe at (0.0000, 0.0000, 0.0000), Pt at (0.1255, 0.1255, 0.3745) and Pb at (0.2500, 0.2500, 0.7500).